# Hg2POs meta-GGA SCAN PBEsol geometry
# energy relative to the elements = 0.952 eV/atom
data_Hg2POs
_chemical_formula_sum 'Hg2 P1 Os1'
_symmetry_space_group_name_H-M 'P 1 2/m 1'
_symmetry_Int_Tables_number 10
_cell_length_a 3.005
_cell_length_b 5.334
_cell_length_c 4.432
_cell_angle_alpha 90.00
_cell_angle_beta 94.63
_cell_angle_gamma 90.00
loop_
_symmetry_equiv_pos_as_xyz
'x,y,z'
'-x,-y,-z'
'-x,y,-z'
'x,-y,z'
loop_
_atom_site_label
_atom_site_fract_x
_atom_site_fract_y
_atom_site_fract_z
Hg1 0.249 0.000 0.249
P1 0.500 0.500 0.500
Os1 0.000 0.500 0.000

---

# BaNi2Sn2 meta-GGA SCAN PBEsol geometry
# energy relative to the elements = -0.384 eV/atom
data_BaNi2Sn2
_chemical_formula_sum 'Ba2 Ni4 Sn4'
_symmetry_space_group_name_H-M 'I 4/m m m'
_symmetry_Int_Tables_number 139
_symmetry_space_group_name_Hall '-I 4 2'
_cell_length_a 4.525
_cell_length_b 4.525
_cell_length_c 10.984
_cell_angle_alpha 90.00
_cell_angle_beta 90.00
_cell_angle_gamma 90.00
loop_
_atom_site_label
_atom_site_fract_x
_atom_site_fract_y
_atom_site_fract_z
Ba1 0.000 0.000 0.000
Ni1 0.000 0.500 0.250
Sn1 0.000 0.000 0.351

---

# ReNiIr2 meta-GGA SCAN PBEsol geometry
# energy relative to the elements = -0.068 eV/atom
# excess energy over the best structure of this formula in the dataset = 89.3 meV/atom
data_ReNiIr2
_chemical_formula_sum 'Re3 Ni3 Ir6'
_symmetry_space_group_name_H-M 'R -3 m'
_symmetry_Int_Tables_number 166
_symmetry_space_group_name_Hall '-R 3 2"'
_cell_length_a 2.6943
_cell_length_b 2.6943
_cell_length_c 25.6892
_cell_angle_alpha 90.00
_cell_angle_beta 90.00
_cell_angle_gamma 120.00
loop_
_atom_site_label
_atom_site_fract_x
_atom_site_fract_y
_atom_site_fract_z
Re1 0.0000 0.0000 0.0000
Ni1 0.0000 0.0000 0.5000
Ir1 0.0000 0.0000 0.2481